Here is a geometry-optimized NdErSn structure from Alexandria via LeMat-Bulk. Energies are from PBE-GGA.

Output
ΔH_f (0 K) (meV per atom): -614
D(E_F) (states/eV per cell): 7.02
Total magnetization (μB/f.u.): 0.4
Total DFT energy (no corrections) (eV/atom): -5.06
Energy above the lowest structure with this stoichiometry (meV per atom): 0

a = 4.6331 Å, b = 4.6331 Å, c = 9.1001 Å
α = 104.75°, β = 104.75°, γ = 90.00°
Closest atoms and distances in Å follow each position.
Sites, in units of the cell vectors:
Nd (0.3241, 0.3241, 0.6481)  5 Sn 3.26-3.36
Nd (0.6759, 0.6759, 0.3519)  5 Sn 3.26-3.36
Er (0.5000, 0.0000, 0.0000)  4 Sn 3.22, 4 Er 3.28
Er (0.0000, 0.5000, 0.0000)  4 Sn 3.22, 4 Er 3.28
Sn (0.8679, 0.8679, 0.7358)  4 Er 3.22, 5 Nd 3.26-3.36
Sn (0.1321, 0.1321, 0.2642)  4 Er 3.22, 5 Nd 3.26-3.36


Here is a geometry-optimized NdErSn2 structure from Alexandria via LeMat-Bulk. Energies are from PBE-GGA.

Output
ΔH_f (0 K) (meV per atom): -635
D(E_F) (states/eV per cell): 3.45
Total magnetization (μB/f.u.): 0.0
Total DFT energy (no corrections) (eV/atom): -4.97

a = 3.4967 Å, b = 3.4967 Å, c = 8.9245 Å
α = 90.00°, β = 90.00°, γ = 90.00°
Closest atoms and distances in Å follow each position.
Sites, in units of the cell vectors:
Nd (0.5000, 0.5000, 0.5000)  8 Sn 3.39, 4 Nd 3.50
Sn (0.0000, 0.0000, 0.7599)  4 Er 3.27, 4 Nd 3.39, 4 Sn 3.50
Sn (0.0000, 0.0000, 0.2401)  4 Er 3.27, 4 Nd 3.39, 4 Sn 3.50
Er (0.5000, 0.5000, 0.0000)  8 Sn 3.27, 4 Er 3.50


Here is a geometry-optimized Nd2ErSn2 structure from Alexandria via LeMat-Bulk. Energies are from PBE-GGA.

Output
ΔH_f (0 K) (meV per atom): -629
D(E_F) (states/eV per cell): 7.71
Total magnetization (μB/f.u.): 0.0
Total DFT energy (no corrections) (eV/atom): -5.05
Energy above the lowest structure with this stoichiometry (meV per atom): 83

a = 4.7835 Å, b = 6.8137 Å, c = 10.4061 Å
α = 78.62°, β = 76.71°, γ = 69.45°
Closest atoms and distances in Å follow each position.
Sites, in units of the cell vectors:
Nd (0.3174, 0.2729, 0.0923)  4 Sn 3.26-3.53
Nd (0.4884, 0.3435, 0.6798)  6 Sn 3.28-3.53, 2 Er 3.62
Nd (0.6826, 0.7271, 0.9077)  4 Sn 3.26-3.53
Nd (0.5116, 0.6565, 0.3202)  6 Sn 3.28-3.53, 2 Er 3.62
Er (0.7858, 0.0719, 0.3564)  4 Sn 2.98-3.12
Er (0.2142, 0.9281, 0.6436)  4 Sn 2.98-3.12
Sn (0.9660, 0.1790, 0.8891)  1 Sn 2.99, 1 Er 3.12, 4 Nd 3.26-3.28
Sn (0.1298, 0.3146, 0.4258)  1 Sn 2.96, 3 Er 2.98-3.09
Sn (0.0340, 0.8210, 0.1109)  1 Sn 2.99, 1 Er 3.12, 4 Nd 3.26-3.28
Sn (0.8702, 0.6854, 0.5742)  1 Sn 2.96, 3 Er 2.98-3.09


Here is a geometry-optimized NdEr2Zn2Sn2 structure from Alexandria via LeMat-Bulk. Energies are from PBE-GGA.

Output
ΔH_f (0 K) (meV per atom): -338
D(E_F) (states/eV per cell): 7.14
Total magnetization (μB/f.u.): 0.0
Total DFT energy (no corrections) (eV/atom): -3.83

a = 4.6871 Å, b = 4.6871 Å, c = 9.6031 Å
α = 75.87°, β = 75.87°, γ = 60.00°
Closest atoms and distances in Å follow each position.
Sites, in units of the cell vectors:
Nd (0.0000, 0.0000, 0.0000)  6 Sn 3.31, 2 Er 3.66, 6 Zn 3.69
Er (0.1325, 0.1325, 0.6026)  3 Zn 2.94, 3 Sn 3.22
Er (0.8675, 0.8675, 0.3974)  3 Zn 2.94, 3 Sn 3.22
Zn (0.5758, 0.5758, 0.2725)  3 Sn 2.77, 3 Er 2.94
Zn (0.4242, 0.4242, 0.7275)  3 Sn 2.77, 3 Er 2.94
Sn (0.7358, 0.7358, 0.7927)  3 Zn 2.77
Sn (0.2642, 0.2642, 0.2073)  3 Zn 2.77


Here is a geometry-optimized Nd2ErZn2Sn2 structure from Alexandria via LeMat-Bulk. Energies are from PBE-GGA.

Output
ΔH_f (0 K) (meV per atom): -346
D(E_F) (states/eV per cell): 6.89
Total magnetization (μB/f.u.): 0.0
Total DFT energy (no corrections) (eV/atom): -3.87

a = 4.6801 Å, b = 4.6801 Å, c = 9.8511 Å
α = 76.26°, β = 76.26°, γ = 60.00°
Closest atoms and distances in Å follow each position.
Sites, in units of the cell vectors:
Nd (0.1288, 0.1288, 0.6137)  3 Zn 3.06, 3 Sn 3.31
Nd (0.8712, 0.8712, 0.3863)  3 Zn 3.06, 3 Sn 3.31
Er (0.0000, 0.0000, 0.0000)  6 Sn 3.22, 6 Zn 3.50
Zn (0.5884, 0.5884, 0.2347)  3 Sn 2.74, 3 Nd 3.06
Zn (0.4116, 0.4116, 0.7653)  3 Sn 2.74, 3 Nd 3.06
Sn (0.7283, 0.7283, 0.8150)  3 Zn 2.74
Sn (0.2717, 0.2717, 0.1850)  3 Zn 2.74


Here is a geometry-optimized SrNdEr2 structure from Alexandria via LeMat-Bulk. Energies are from PBE-GGA.

Output
ΔH_f (0 K) (meV per atom): 131
D(E_F) (states/eV per cell): 5.80
Total magnetization (μB/f.u.): 0.0
Total DFT energy (no corrections) (eV/atom): -3.76
Energy above the lowest structure with this stoichiometry (meV per atom): 0

a = 3.6844 Å, b = 3.6844 Å, c = 12.3203 Å
α = 81.40°, β = 81.40°, γ = 60.00°
Closest atoms and distances in Å follow each position.
Sites, in units of the cell vectors:
Sr (0.5005, 0.5005, 0.4986)  6 Sr 3.68, 6 Er 3.86-3.88
Nd (0.6662, 0.6662, 0.0015)  6 Er 3.53-3.56, 6 Nd 3.68
Er (0.0779, 0.0779, 0.7664)  3 Nd 3.56, 6 Er 3.68, 3 Sr 3.88
Er (0.2555, 0.2555, 0.2335)  3 Nd 3.53, 6 Er 3.68, 3 Sr 3.86


Here is a geometry-optimized SrNdEr2 structure from Alexandria via LeMat-Bulk. Energies are from PBE-GGA.

Output
ΔH_f (0 K) (meV per atom): 236
D(E_F) (states/eV per cell): 5.86
Total magnetization (μB/f.u.): 0.0
Total DFT energy (no corrections) (eV/atom): -3.66
Energy above the lowest structure with this stoichiometry (meV per atom): 105

a = 3.6223 Å, b = 3.6223 Å, c = 12.9509 Å
α = 81.96°, β = 81.96°, γ = 60.00°
Closest atoms and distances in Å follow each position.
Sites, in units of the cell vectors:
Sr (0.0000, 0.0000, 0.0000)  2 Er 3.54, 6 Sr 3.62
Nd (0.5000, 0.5000, 0.5000)  6 Er 3.54, 6 Nd 3.62
Er (0.0923, 0.0923, 0.7232)  3 Nd 3.54, 1 Sr 3.54, 6 Er 3.62
Er (0.9077, 0.9077, 0.2768)  3 Nd 3.54, 1 Sr 3.54, 6 Er 3.62


Here is a geometry-optimized SrNdEr2 structure from Alexandria via LeMat-Bulk. Energies are from PBE-GGA.

Output
ΔH_f (0 K) (meV per atom): 138
D(E_F) (states/eV per cell): 6.62
Total magnetization (μB/f.u.): 0.0
Total DFT energy (no corrections) (eV/atom): -3.76
Energy above the lowest structure with this stoichiometry (meV per atom): 7

a = 3.7058 Å, b = 3.7058 Å, c = 10.5755 Å
α = 90.00°, β = 90.00°, γ = 90.00°
Closest atoms and distances in Å follow each position.
Sites, in units of the cell vectors:
Sr (0.5000, 0.5000, 0.5000)  4 Sr 3.71, 8 Er 3.93
Nd (0.5000, 0.5000, 0.0000)  8 Er 3.53, 4 Nd 3.71
Er (0.0000, 0.0000, 0.7767)  4 Nd 3.53, 4 Er 3.71, 4 Sr 3.93
Er (0.0000, 0.0000, 0.2233)  4 Nd 3.53, 4 Er 3.71, 4 Sr 3.93


Here is a geometry-optimized SrNdEr structure from Alexandria via LeMat-Bulk. Energies are from PBE-GGA.

Output
ΔH_f (0 K) (meV per atom): 116
D(E_F) (states/eV per cell): 4.36
Total magnetization (μB/f.u.): 0.0
Total DFT energy (no corrections) (eV/atom): -3.55
Energy above the lowest structure with this stoichiometry (meV per atom): 0

a = 3.7678 Å, b = 3.7678 Å, c = 8.5041 Å
α = 102.80°, β = 102.80°, γ = 90.00°
Closest atoms and distances in Å follow each position.
Sites, in units of the cell vectors:
Sr (0.9984, 0.9984, 0.9967)  4 Sr 3.77, 4 Er 3.91, 4 Nd 3.97
Nd (0.6809, 0.6809, 0.3617)  4 Er 3.49, 4 Nd 3.77
Er (0.3208, 0.3208, 0.6416)  4 Nd 3.49, 4 Er 3.77


Here is a geometry-optimized SrNd14Er structure from Alexandria via LeMat-Bulk. Energies are from PBE-GGA.

Output
ΔH_f (0 K) (meV per atom): 45
D(E_F) (states/eV per cell): 23.20
Total magnetization (μB/f.u.): 0.0
Total DFT energy (no corrections) (eV/atom): -4.52

a = 7.4162 Å, b = 7.4162 Å, c = 10.3800 Å
α = 90.00°, β = 90.00°, γ = 90.00°
Closest atoms and distances in Å follow each position.
Sites, in units of the cell vectors:
Sr (0.8750, 0.8750, 0.5000)  12 Nd 3.71-3.76
Nd (0.8750, 0.8750, 0.0000)  12 Nd 3.71
Nd (0.3750, 0.3750, 0.0000)  12 Nd 3.62-3.71
Nd (0.8750, 0.3750, 0.5000)  2 Er 3.71, 2 Sr 3.71, 8 Nd 3.71
Nd (0.8750, 0.3750, 0.0000)  12 Nd 3.67-3.71
Nd (0.3750, 0.8750, 0.5000)  2 Er 3.71, 2 Sr 3.71, 8 Nd 3.71
Nd (0.3750, 0.8750, 0.0000)  12 Nd 3.67-3.71
Nd (0.6186, 0.1314, 0.2467)  10 Nd 3.61-3.80, 1 Er 3.67, 1 Sr 3.76
Nd (0.6186, 0.1314, 0.7533)  10 Nd 3.61-3.80, 1 Er 3.67, 1 Sr 3.76
Nd (0.1314, 0.6186, 0.2467)  10 Nd 3.61-3.80, 1 Er 3.67, 1 Sr 3.76
Nd (0.1314, 0.6186, 0.7533)  10 Nd 3.61-3.80, 1 Er 3.67, 1 Sr 3.76
Nd (0.6185, 0.6185, 0.2467)  10 Nd 3.61-3.80, 1 Er 3.67, 1 Sr 3.76
Nd (0.6185, 0.6185, 0.7533)  10 Nd 3.61-3.80, 1 Er 3.67, 1 Sr 3.76
Nd (0.1315, 0.1315, 0.2468)  10 Nd 3.61-3.80, 1 Er 3.66, 1 Sr 3.76
Nd (0.1315, 0.1315, 0.7532)  10 Nd 3.61-3.80, 1 Er 3.66, 1 Sr 3.76
Er (0.3750, 0.3750, 0.5000)  12 Nd 3.66-3.71


Here is a geometry-optimized SrNdEr structure from Alexandria via LeMat-Bulk. Energies are from PBE-GGA.

Output
ΔH_f (0 K) (meV per atom): 137
D(E_F) (states/eV per cell): 4.25
Total magnetization (μB/f.u.): 0.0
Total DFT energy (no corrections) (eV/atom): -3.53
Energy above the lowest structure with this stoichiometry (meV per atom): 20

a = 3.7564 Å, b = 3.7564 Å, c = 9.3399 Å
α = 90.00°, β = 90.00°, γ = 120.00°
Closest atoms and distances in Å follow each position.
Sites, in units of the cell vectors:
Sr (0.0000, 0.0000, 0.9946)  6 Sr 3.76, 3 Er 3.89, 3 Nd 4.01
Nd (0.6667, 0.3333, 0.3561)  3 Er 3.49, 6 Nd 3.76
Er (0.3333, 0.6667, 0.6493)  3 Nd 3.49, 6 Er 3.76, 3 Sr 3.89


Here is a geometry-optimized Sr3Nd2ErTe6 structure from Alexandria via LeMat-Bulk. Energies are from PBE-GGA.

Output
D(E_F) (states/eV per cell): 5.29
Total magnetization (μB/f.u.): 0.0
ΔE_f (raw) (eV/atom): -1.52
Total DFT energy (no corrections) (eV/atom): -4.69

a = 7.8552 Å, b = 7.8552 Å, c = 8.0367 Å
α = 99.40°, β = 99.40°, γ = 119.91°
Closest atoms and distances in Å follow each position.
Sites, in units of the cell vectors:
Sr (0.1704, 0.8296, 0.5000)  6 Te 3.27-3.32
Sr (0.8296, 0.1704, 0.5000)  6 Te 3.27-3.32
Sr (0.5000, 0.5000, 0.5000)  6 Te 3.27-3.35
Nd (0.3348, 0.6652, 0.0000)  6 Te 3.20-3.21
Nd (0.6652, 0.3348, 0.0000)  6 Te 3.20-3.21
Er (0.0000, 0.0000, 0.0000)  6 Te 3.11-3.12
Te (0.9221, 0.5979, 0.7646)  1 Er 3.11, 2 Nd 3.21, 3 Sr 3.27-3.32
Te (0.7564, 0.7564, 0.2386)  1 Er 3.12, 2 Nd 3.20, 3 Sr 3.29-3.35
Te (0.0779, 0.4021, 0.2354)  1 Er 3.11, 2 Nd 3.21, 3 Sr 3.27-3.32
Te (0.5979, 0.9221, 0.7646)  1 Er 3.11, 2 Nd 3.21, 3 Sr 3.27-3.32
Te (0.2436, 0.2436, 0.7614)  1 Er 3.12, 2 Nd 3.20, 3 Sr 3.29-3.35
Te (0.4021, 0.0779, 0.2354)  1 Er 3.11, 2 Nd 3.21, 3 Sr 3.27-3.32